[1]
# SiTeHS2 (PBE, optimized geometry)
# N(E_F) in states/eV/f.u.: 1.905
# Total DFT energy (no corrections) in eV per atom: -2.769
data_SiTeHS2
_cell_length_a 5.1564
_cell_length_b 5.1564
_cell_length_c 5.3758
_cell_angle_alpha 90.00
_cell_angle_beta 90.00
_cell_angle_gamma 90.00
_symmetry_space_group_name_H-M 'P 4/m m m'
_symmetry_Int_Tables_number 123
_symmetry_space_group_name_Hall '-P 4 2'
loop_
_atom_site_label
_atom_site_type_symbol
_atom_site_fract_x
_atom_site_fract_y
_atom_site_fract_z
Si1 Si 0.0000 0.0000 0.0000
Te1 Te 0.0000 0.0000 0.5000
H1 H 0.5000 0.5000 0.0000
S1 S 0.0000 0.5000 0.5000

=====

[2]
# Tb2PaC2 (PBE, optimized geometry)
# N(E_F) in states/eV/f.u.: 3.868
# Total DFT energy (no corrections) in eV per atom: -7.781
# Formation energy in kJ/mol of atoms: -32.8
data_Tb2PaC2
_cell_length_a 3.6014
_cell_length_b 3.6014
_cell_length_c 27.5986
_cell_angle_alpha 90.00
_cell_angle_beta 90.00
_cell_angle_gamma 120.00
_symmetry_space_group_name_H-M 'R -3 m'
_symmetry_Int_Tables_number 166
_symmetry_space_group_name_Hall '-R 3 2"'
loop_
_atom_site_label
_atom_site_type_symbol
_atom_site_fract_x
_atom_site_fract_y
_atom_site_fract_z
Tb1 Tb 0.0000 0.0000 0.2310
Pa1 Pa 0.0000 0.0000 0.0000
C1 C 0.0000 0.0000 0.3855

=====

[3]
# LiSCl2 (PBE, optimized geometry)
# N(E_F) in states/eV/f.u.: 3.053
# Total DFT energy (no corrections) in eV per atom: -2.668
# Formation energy (no corrections) in kJ/mol of formula units: -90
# Distance to the lowest polymorph of the same formula in eV/atom: 0.381
data_LiSCl2
_cell_length_a 6.8838
_cell_length_b 6.8838
_cell_length_c 7.0158
_cell_angle_alpha 90.00
_cell_angle_beta 90.00
_cell_angle_gamma 90.00
_symmetry_space_group_name_H-M 'I -4 2 d'
_symmetry_Int_Tables_number 122
_symmetry_space_group_name_Hall 'I -4 2bw'
loop_
_atom_site_label
_atom_site_type_symbol
_atom_site_fract_x
_atom_site_fract_y
_atom_site_fract_z
Li1 Li 0.0000 0.0000 0.0000
S1 S 0.0000 0.0000 0.5000
Cl1 Cl 0.2243 0.2500 0.1250